[1]
Crystalline AlFe2Os at its relaxed geometry. Source: Alexandria via LeMat-Bulk, functional GGA-PBE.

Cell lengths 4.847, 4.847, 4.847 Å; angles 144.50, 128.64, 63.99 degrees
Last column: magnetic moment on the atom in μB.
Positions (direct):
Os (0.507, 0.507, 0.000)  0.32
Al (0.244, 0.744, 0.500)  -0.04
Fe (0.759, 0.259, 0.500)  2.09
Fe (0.990, 0.990, 0.000)  2.27

Calculated values
- Total magnetic moment: 1.149 μB/atom
- DOS at the Fermi energy: 4.1 states/eV per cell
- Energy relative to the elements: -0.11 eV per atom
- Space group: Imm2, No. 44

[2]
Crystalline AlFe2Os at its relaxed geometry. Source: Alexandria via LeMat-Bulk, functional GGA-PBE.

Cell lengths 4.528, 4.528, 4.501 Å; angles 77.87, 77.87, 34.52 degrees
Last column: magnetic moment on the atom in μB.
Positions (direct):
Fe (0.749, 0.749, 0.753)  1.97
Al (0.252, 0.252, 0.241)  -0.04
Fe (0.003, 0.003, 0.993)  1.95
Os (0.496, 0.496, 0.513)  0.04

Calculated values
- Total magnetic moment: 0.969 μB/atom
- DOS at the Fermi energy: 3.9 states/eV per cell
- Energy relative to the elements: -0.07 eV per atom
- Space group: Cm, No. 8

[3]
Crystalline AlFe2Os at its relaxed geometry. Source: Alexandria via LeMat-Bulk, functional GGA-PBE.

Cell lengths 2.724, 2.724, 6.476 Å; angles 90.00, 90.00, 90.00 degrees
Positions (direct):
Al (0.500, 0.500, 0.750)
Os (0.500, 0.500, 0.250)
Fe (0.000, 0.000, 0.991)
Fe (0.000, 0.000, 0.509)

Calculated values
- Total magnetic moment: 0.000 μB/atom
- DOS at the Fermi energy: 3.3 states/eV per cell
- Energy relative to the elements: -0.12 eV per atom
- Space group: P4/mmm, No. 123

[4]
Crystalline Al2FeOs at its relaxed geometry. Source: Alexandria via LeMat-Bulk, functional GGA-PBE.

Cell lengths 2.724, 2.724, 8.078 Å; angles 90.00, 90.00, 114.07 degrees
Last column: magnetic moment on the atom in μB.
Positions (direct):
Fe (0.500, 0.500, 0.250)  1.98
Os (0.500, 0.500, 0.750)  -0.02
Al (0.000, 0.000, 0.492)  -0.02
Al (0.000, 0.000, 0.008)  -0.02

Calculated values
- Total magnetic moment: 0.449 μB/atom
- DOS at the Fermi energy: 2.6 states/eV per cell
- Energy relative to the elements: -0.13 eV per atom
- Space group: Cmmm, No. 65

[5]
Crystalline AlFe2Os at its relaxed geometry. Source: Alexandria via LeMat-Bulk, functional GGA-PBE.

Cell lengths 8.485, 8.485, 8.485 Å; angles 18.21, 18.21, 18.21 degrees
Last column: magnetic moment on the atom in μB.
Positions (direct):
Fe (0.000, 0.000, 0.000)  2.05
Fe (0.251, 0.251, 0.251)  2.20
Os (0.502, 0.502, 0.502)  -0.08
Al (0.747, 0.747, 0.747)  -0.04

Calculated values
- Total magnetic moment: 1.015 μB/atom
- DOS at the Fermi energy: 2.6 states/eV per cell
- Energy relative to the elements: 0.02 eV per atom
- Space group: R3m, No. 160

[6]
Crystalline Al2FeOs at its relaxed geometry. Source: Alexandria via LeMat-Bulk, functional GGA-PBE.

Cell lengths 8.436, 8.436, 8.436 Å; angles 18.95, 18.95, 18.95 degrees
Last column: magnetic moment on the atom in μB.
Positions (direct):
Al (0.502, 0.502, 0.502)  -0.01
Os (0.750, 0.750, 0.750)  0.20
Al (0.998, 0.998, 0.998)  -0.01
Fe (0.250, 0.250, 0.250)  2.28

Calculated values
- Total magnetic moment: 0.617 μB/atom
- DOS at the Fermi energy: 2.8 states/eV per cell
- Energy relative to the elements: -0.15 eV per atom
- Space group: R-3m, No. 166

Repeat the third record exactly.
Crystalline AlFe2Os at its relaxed geometry. Source: Alexandria via LeMat-Bulk, functional GGA-PBE.

Cell lengths 2.724, 2.724, 6.476 Å; angles 90.00, 90.00, 90.00 degrees
Positions (direct):
Al (0.500, 0.500, 0.750)
Os (0.500, 0.500, 0.250)
Fe (0.000, 0.000, 0.991)
Fe (0.000, 0.000, 0.509)

Calculated values
- Total magnetic moment: 0.000 μB/atom
- DOS at the Fermi energy: 3.3 states/eV per cell
- Energy relative to the elements: -0.12 eV per atom
- Space group: P4/mmm, No. 123